The following is a PBE calculation of a geometry-optimized IBr2F structure, from Alexandria.

a b c (Å): 5.0870 5.0870 5.0870
angles (deg): 60.00 60.00 60.00
Closest atoms and distances in Å follow each position.
Atoms (fractional coordinates):
I 0.5000 0.5000 0.5000  8 Br 3.12
Br 0.2500 0.2500 0.2500  4 F 3.12, 4 I 3.12
Br 0.7500 0.7500 0.7500  4 F 3.12, 4 I 3.12
F 0.0000 0.0000 0.0000  8 Br 3.12

Properties
Fermi-level density of states: 0.1446 states/eV per atom
polymorph energy (0 for the lowest one): 0.5443 eV per atom
magnetic moment: 0.000 μB/atom
formation energy without anion corrections: 251.0 meV per atom


The following is a PBE calculation of a geometry-optimized Ac4BiAs2S structure, from Alexandria.

a b c (Å): 4.5833 7.9648 7.9168
angles (deg): 70.61 90.00 90.00
Closest atoms and distances in Å follow each position.
Atoms (fractional coordinates):
Ac 0.0000 0.7631 0.7375  3 As 3.16-3.24, 1 S 3.25, 2 Bi 3.33
Ac 0.0000 0.2369 0.2625  3 As 3.16-3.24, 1 S 3.25, 2 Bi 3.33
Ac 0.5000 0.7587 0.2541  3 As 3.16-3.23, 2 S 3.26, 1 Bi 3.32
Ac 0.5000 0.2413 0.7459  3 As 3.16-3.23, 2 S 3.26, 1 Bi 3.32
Bi 0.5000 0.5000 0.0000  6 Ac 3.32-3.33
As 0.0000 0.0000 0.0000  6 Ac 3.23-3.24
As 0.5000 0.0000 0.5000  6 Ac 3.16
S 0.0000 0.5000 0.5000  6 Ac 3.25-3.26

Properties
Fermi-level density of states: 0.2423 states/eV per atom
magnetic moment: 0.000 μB/atom
formation energy without anion corrections: -1478.9 meV per atom


The following is a PBE calculation of a geometry-optimized Ba3InIr2 structure, from Alexandria.

a b c (Å): 8.6493 9.6079 10.0687
angles (deg): 90.00 105.73 90.00
Closest atoms and distances in Å follow each position.
Atoms (fractional coordinates):
Ba 0.3393 0.9773 0.0905  4 Ir 3.13-3.49
Ba 0.1607 0.4773 0.4095  4 Ir 3.13-3.49
Ba 0.6607 0.0227 0.9095  4 Ir 3.13-3.49
Ba 0.8393 0.5227 0.5905  4 Ir 3.13-3.49
Ba 0.3410 0.5229 0.0918  4 Ir 3.13-3.47
Ba 0.1590 0.0229 0.4082  4 Ir 3.13-3.47
Ba 0.6590 0.4771 0.9082  4 Ir 3.13-3.47
Ba 0.8410 0.9771 0.5918  4 Ir 3.13-3.47
Ba 0.9294 0.7491 0.1363  4 Ir 3.21-3.26, 1 In 3.49
Ba 0.5706 0.2491 0.3637  4 Ir 3.21-3.26, 1 In 3.49
Ba 0.0706 0.2509 0.8637  4 Ir 3.21-3.26, 1 In 3.49
Ba 0.4294 0.7509 0.6363  4 Ir 3.21-3.26, 1 In 3.49
In 0.6239 0.7512 0.3024  3 Ir 2.73-2.75
In 0.8761 0.2512 0.1976  3 Ir 2.73-2.75
In 0.3761 0.2488 0.6976  3 Ir 2.73-2.75
In 0.1239 0.7488 0.8024  3 Ir 2.73-2.75
Ir 0.7506 0.0007 0.2497  2 In 2.75
Ir 0.7494 0.5007 0.2503  2 In 2.75
Ir 0.2494 0.9993 0.7503  2 In 2.75
Ir 0.2506 0.4993 0.7497  2 In 2.75
Ir 0.3091 0.7504 0.3053  1 In 2.73
Ir 0.1909 0.2504 0.1947  1 In 2.73
Ir 0.6909 0.2496 0.6947  1 In 2.73
Ir 0.8091 0.7496 0.8053  1 In 2.73

Properties
Fermi-level density of states: 0.5959 states/eV per atom
magnetic moment: 0.000 μB/atom
energy of formation from the pure elements: -149.3 meV per atom


The following is a PBE calculation of a geometry-optimized PrY5Cu6 structure, from Alexandria.

a b c (Å): 4.9697 6.9659 7.8793
angles (deg): 90.00 71.62 90.00
Closest atoms and distances in Å follow each position.
Atoms (fractional coordinates):
Pr 0.0000 0.0000 0.0000  8 Cu 3.08-3.09
Y 0.6662 0.5000 0.6675  8 Cu 2.99-3.02
Y 0.3318 0.0000 0.3363  8 Cu 3.00-3.11
Y 0.0000 0.5000 0.0000  8 Cu 2.99-3.07
Y 0.6682 0.0000 0.6637  8 Cu 3.00-3.11
Y 0.3338 0.5000 0.3325  8 Cu 2.99-3.02
Cu 0.8300 0.7466 0.3400  7 Y 2.99-3.07, 1 Pr 3.09
Cu 0.8300 0.2534 0.3400  7 Y 2.99-3.07, 1 Pr 3.09
Cu 0.5000 0.2620 0.0000  6 Y 2.99-3.11, 2 Pr 3.08, 1 Cu 3.32
Cu 0.5000 0.7380 0.0000  6 Y 2.99-3.11, 2 Pr 3.08, 1 Cu 3.32
Cu 0.1700 0.7466 0.6600  7 Y 2.99-3.07, 1 Pr 3.09
Cu 0.1700 0.2534 0.6600  7 Y 2.99-3.07, 1 Pr 3.09

Properties
Fermi-level density of states: 0.4831 states/eV per atom
magnetic moment: 0.000 μB/atom
energy of formation from the pure elements: -220.8 meV per atom


The following is a PBE calculation of a geometry-optimized SrEuHgAs structure, from Alexandria.

a b c (Å): 5.4637 5.4637 5.4637
angles (deg): 60.00 60.00 60.00
Closest atoms and distances in Å follow each position.
Atoms (fractional coordinates):
Eu 0.7500 0.7500 0.7500  4 Hg 3.35, 4 As 3.35
Sr 0.2500 0.2500 0.2500  4 As 3.35, 4 Hg 3.35
As 0.0000 0.0000 0.0000  4 Sr 3.35, 4 Eu 3.35
Hg 0.5000 0.5000 0.5000  4 Sr 3.35, 4 Eu 3.35

Properties
Fermi-level density of states: 0.6534 states/eV per atom
magnetic moment: 1.827 μB/atom
energy of formation from the pure elements: -757.9 meV per atom


The following is a PBE calculation of a geometry-optimized SbW2Cl structure, from Alexandria.

a b c (Å): 10.2605 10.2605 10.2605
angles (deg): 17.90 17.90 17.90
Closest atoms and distances in Å follow each position.
Atoms (fractional coordinates):
Cl 0.5285 0.5285 0.5285  3 W 2.65
Sb 0.7286 0.7286 0.7286  3 W 2.98, 6 Sb 3.19
W 0.9848 0.9848 0.9848  3 W 2.59
W 0.2581 0.2581 0.2581  3 W 2.59, 3 Cl 2.65

Properties
Fermi-level density of states: 0.4796 states/eV per atom
polymorph energy (0 for the lowest one): 0.1473 eV per atom
magnetic moment: 0.000 μB/atom
formation energy without anion corrections: 193.1 meV per atom


The following is a PBE calculation of a geometry-optimized LaPm2Pr2Y4 structure, from Alexandria.

a b c (Å): 3.6784 9.6911 9.7612
angles (deg): 115.22 90.00 100.94
Closest atoms and distances in Å follow each position.
Atoms (fractional coordinates):
La 0.0000 0.0000 0.0000  6 Y 3.62, 4 Pm 3.66, 2 La 3.68
Pm 0.3327 0.6654 0.9966  3 Pr 3.61-3.66, 3 Y 3.62-3.65, 2 La 3.66, 4 Pm 3.67-3.68
Pm 0.6673 0.3346 0.0034  3 Pr 3.61-3.66, 3 Y 3.62-3.65, 2 La 3.66, 4 Pm 3.67-3.68
Pr 0.8525 0.7050 0.3351  7 Y 3.58-3.68, 3 Pm 3.61-3.66, 2 Pr 3.68
Pr 0.1475 0.2950 0.6649  7 Y 3.58-3.68, 3 Pm 3.61-3.66, 2 Pr 3.68
Y 0.8149 0.6298 0.6640  3 Pr 3.58-3.68, 6 Y 3.59-3.68, 2 Pm 3.62, 1 La 3.62
Y 0.1851 0.3702 0.3360  3 Pr 3.58-3.68, 6 Y 3.59-3.68, 2 Pm 3.62, 1 La 3.62
Y 0.5197 0.0394 0.3339  4 Pr 3.59-3.68, 2 La 3.62, 5 Y 3.63-3.68, 1 Pm 3.65
Y 0.4803 0.9606 0.6661  4 Pr 3.59-3.68, 2 La 3.62, 5 Y 3.63-3.68, 1 Pm 3.65

Properties
Fermi-level density of states: 1.4237 states/eV per atom
magnetic moment: 0.000 μB/atom
energy of formation from the pure elements: 0.8 meV per atom


The following is a PBE calculation of a geometry-optimized B5C3 structure, from Alexandria.

a b c (Å): 2.5908 4.1336 5.3734
angles (deg): 90.00 90.00 90.00
Closest atoms and distances in Å follow each position.
Atoms (fractional coordinates):
B 0.5000 0.5436 0.2494  2 C 1.60-1.63
B 0.0000 0.2442 0.2862  1 C 1.62, 2 B 1.80
B 0.0000 0.9376 0.0000  2 C 1.50
B 0.5000 0.5436 0.7506  2 C 1.60-1.63
B 0.0000 0.2442 0.7138  1 C 1.62, 2 B 1.80
C 0.5000 0.7540 0.0000  4 B 1.50-1.60
C 0.0000 0.9684 0.5000  2 C 1.55, 2 B 1.62
C 0.5000 0.7643 0.5000  2 C 1.55, 2 B 1.63

Properties
Fermi-level density of states: 0.2005 states/eV per atom
polymorph energy (0 for the lowest one): 0.1753 eV per atom
magnetic moment: 0.000 μB/atom
energy of formation from the pure elements: 444.9 meV per atom


The following is a PBE calculation of a geometry-optimized Th3MnTl structure, from Alexandria.

a b c (Å): 5.2221 5.2221 5.2221
angles (deg): 90.00 90.00 90.00
Closest atoms and distances in Å follow each position.
Atoms (fractional coordinates):
Tl 0.5000 0.5000 0.5000  12 Th 3.69
Mn 0.0000 0.0000 0.0000  6 Th 2.61
Th 0.0000 0.5000 0.0000  2 Mn 2.61
Th 0.0000 0.0000 0.5000  2 Mn 2.61
Th 0.5000 0.0000 0.0000  2 Mn 2.61

Properties
Fermi-level density of states: 0.8706 states/eV per atom
magnetic moment: 0.000 μB/atom
energy of formation from the pure elements: -66.4 meV per atom


The following is a PBE calculation of a geometry-optimized K2BaAlCl8 structure, from Alexandria.

a b c (Å): 6.9132 6.9132 8.2214
angles (deg): 90.00 90.00 120.00
Closest atoms and distances in Å follow each position.
Atoms (fractional coordinates):
K 0.6667 0.3333 0.1194  4 Cl 3.00-3.19
K 0.3333 0.6667 0.8806  4 Cl 3.00-3.19
Ba 0.0000 0.0000 0.5000  6 Cl 3.29
Al 0.0000 0.0000 0.0000  6 Cl 2.34
Cl 0.8436 0.6872 0.8294  1 Al 2.34
Cl 0.3128 0.1564 0.8294  1 Al 2.34
Cl 0.8436 0.1564 0.8294  1 Al 2.34
Cl 0.1564 0.3128 0.1706  1 Al 2.34
Cl 0.6872 0.8436 0.1706  1 Al 2.34
Cl 0.1564 0.8436 0.1706  1 Al 2.34
Cl 0.6667 0.3333 0.4837  1 K 3.00
Cl 0.3333 0.6667 0.5163  1 K 3.00

Properties
Fermi-level density of states: 1.4251 states/eV per atom
magnetic moment: 0.088 μB/atom
formation energy without anion corrections: -1672.2 meV per atom